## A
This record from Alexandria describes a geometry-optimized MgSc2Ga3 structure. The functional is PBE.

The structure in CIF format:
```
data_MgSc2Ga3
_chemical_formula_sum 'Mg2 Sc4 Ga6'
_symmetry_space_group_name_H-M 'P 1'
_symmetry_Int_Tables_number 1
_cell_length_a 5.744
_cell_length_b 5.712
_cell_length_c 7.906
_cell_angle_alpha 105.04
_cell_angle_beta 111.30
_cell_angle_gamma 90.00
loop_
_symmetry_equiv_pos_as_xyz
'x,y,z'
loop_
_atom_site_label
_atom_site_type_symbol
_atom_site_fract_x
_atom_site_fract_y
_atom_site_fract_z
Ga1 Ga 0.033 0.543 0.320
Ga2 Ga 0.967 0.457 0.680
Ga3 Ga 0.611 0.250 0.000
Ga4 Ga 0.713 0.957 0.680
Ga5 Ga 0.287 0.043 0.320
Ga6 Ga 0.389 0.750 0.000
Mg1 Mg 0.118 0.250 0.000
Mg2 Mg 0.882 0.750 0.000
Sc1 Sc 0.795 0.090 0.345
Sc2 Sc 0.450 0.410 0.655
Sc3 Sc 0.205 0.910 0.655
Sc4 Sc 0.550 0.590 0.345
```

Calculated values
D(E_F): 0.7774 states/eV/atom
symmetry: C2/c
V: 19.3 Å³/atom
total moment: 0.0 μB/f.u.



## B
This record from Alexandria describes a geometry-optimized MgSc2Ga3 structure. The functional is PBE.

The structure in CIF format:
```
data_MgSc2Ga3
_chemical_formula_sum 'Mg2 Sc4 Ga6'
_symmetry_space_group_name_H-M 'P 1'
_symmetry_Int_Tables_number 1
_cell_length_a 5.537
_cell_length_b 5.537
_cell_length_c 8.399
_cell_angle_alpha 102.94
_cell_angle_beta 102.94
_cell_angle_gamma 108.71
loop_
_symmetry_equiv_pos_as_xyz
'x,y,z'
loop_
_atom_site_label
_atom_site_type_symbol
_atom_site_fract_x
_atom_site_fract_y
_atom_site_fract_z
Sc1 Sc 0.250 0.750 0.500
Sc2 Sc 0.750 0.250 0.500
Sc3 Sc 0.754 0.754 0.000
Sc4 Sc 0.246 0.246 0.000
Ga1 Ga 0.671 0.164 0.835
Ga2 Ga 0.836 0.329 0.165
Ga3 Ga 0.164 0.671 0.835
Ga4 Ga 0.329 0.836 0.165
Ga5 Ga 0.164 0.164 0.329
Ga6 Ga 0.836 0.836 0.671
Mg1 Mg 0.333 0.333 0.666
Mg2 Mg 0.667 0.667 0.334
```

Calculated values
D(E_F): 0.5728 states/eV/atom
symmetry: Fmmm
V: 18.8 Å³/atom
total moment: 0.0 μB/f.u.



Stability verdict: B, ahead by 99 meV/atom



## A
This record from Alexandria describes a geometry-optimized MgSc2Ga4 structure. The functional is PBE.

The structure in CIF format:
```
data_MgSc2Ga4
_chemical_formula_sum 'Mg1 Sc2 Ga4'
_symmetry_space_group_name_H-M 'P 1'
_symmetry_Int_Tables_number 1
_cell_length_a 5.705
_cell_length_b 5.705
_cell_length_c 5.705
_cell_angle_alpha 102.55
_cell_angle_beta 113.04
_cell_angle_gamma 113.04
loop_
_symmetry_equiv_pos_as_xyz
'x,y,z'
loop_
_atom_site_label
_atom_site_type_symbol
_atom_site_fract_x
_atom_site_fract_y
_atom_site_fract_z
Ga1 Ga 0.000 0.500 0.000
Ga2 Ga 0.500 0.500 0.500
Ga3 Ga 0.500 0.000 0.000
Ga4 Ga 0.000 0.000 0.500
Sc1 Sc 0.500 0.500 0.000
Sc2 Sc 0.500 0.000 0.500
Mg1 Mg 0.000 0.000 0.000
```

Calculated values
D(E_F): 0.4921 states/eV/atom
symmetry: I4/mmm
V: 20.2 Å³/atom
total moment: 0.0 μB/f.u.



## B
This record from Alexandria describes a geometry-optimized MgSc2Ga4 structure. The functional is PBE.

The structure in CIF format:
```
data_MgSc2Ga4
_chemical_formula_sum 'Mg1 Sc2 Ga4'
_symmetry_space_group_name_H-M 'P 1'
_symmetry_Int_Tables_number 1
_cell_length_a 4.852
_cell_length_b 4.852
_cell_length_c 7.806
_cell_angle_alpha 71.89
_cell_angle_beta 71.89
_cell_angle_gamma 90.00
loop_
_symmetry_equiv_pos_as_xyz
'x,y,z'
loop_
_atom_site_label
_atom_site_type_symbol
_atom_site_fract_x
_atom_site_fract_y
_atom_site_fract_z
Ga1 Ga 0.500 0.000 0.000
Ga2 Ga 0.189 0.189 0.623
Ga3 Ga 0.811 0.811 0.377
Ga4 Ga 0.000 0.500 0.000
Sc1 Sc 0.387 0.387 0.226
Sc2 Sc 0.613 0.613 0.774
Mg1 Mg 0.000 0.000 0.000
```

Calculated values
D(E_F): 0.6582 states/eV/atom
symmetry: I4/mmm
V: 23.6 Å³/atom
total moment: 0.0 μB/f.u.



Stability verdict: A, ahead by 491 meV/atom



## A
This record from Alexandria describes a geometry-optimized MgScGaSn structure. The functional is PBE.

The structure in CIF format:
```
data_MgScGaSn
_chemical_formula_sum 'Mg1 Sc1 Ga1 Sn1'
_symmetry_space_group_name_H-M 'P 1'
_symmetry_Int_Tables_number 1
_cell_length_a 4.951
_cell_length_b 4.951
_cell_length_c 4.951
_cell_angle_alpha 60.00
_cell_angle_beta 60.00
_cell_angle_gamma 60.00
loop_
_symmetry_equiv_pos_as_xyz
'x,y,z'
loop_
_atom_site_label
_atom_site_type_symbol
_atom_site_fract_x
_atom_site_fract_y
_atom_site_fract_z
Mg1 Mg 0.500 0.500 0.500
Sn1 Sn 0.250 0.250 0.250
Sc1 Sc 0.000 0.000 0.000
Ga1 Ga 0.750 0.750 0.750
```

Calculated values
D(E_F): 0.8820 states/eV/atom
symmetry: F-43m
V: 21.5 Å³/atom
total moment: 0.0 μB/f.u.



## B
This record from Alexandria describes a geometry-optimized MgScGaSn structure. The functional is PBE.

The structure in CIF format:
```
data_MgScGaSn
_chemical_formula_sum 'Mg1 Sc1 Ga1 Sn1'
_symmetry_space_group_name_H-M 'P 1'
_symmetry_Int_Tables_number 1
_cell_length_a 4.210
_cell_length_b 4.417
_cell_length_c 4.432
_cell_angle_alpha 90.00
_cell_angle_beta 90.00
_cell_angle_gamma 90.00
loop_
_symmetry_equiv_pos_as_xyz
'x,y,z'
loop_
_atom_site_label
_atom_site_type_symbol
_atom_site_fract_x
_atom_site_fract_y
_atom_site_fract_z
Ga1 Ga 0.500 0.500 0.000
Sn1 Sn 0.500 0.000 0.500
Mg1 Mg 0.000 0.500 0.500
Sc1 Sc 0.000 0.000 0.000
```

Calculated values
D(E_F): 0.5302 states/eV/atom
symmetry: Pmmm
V: 20.6 Å³/atom
total moment: 0.0 μB/f.u.



Stability verdict: B, ahead by 167 meV/atom



## A
This record from Alexandria describes a geometry-optimized MgScTlGa structure. The functional is PBE.

The structure in CIF format:
```
data_MgScTlGa
_chemical_formula_sum 'Mg1 Sc1 Tl1 Ga1'
_symmetry_space_group_name_H-M 'P 1'
_symmetry_Int_Tables_number 1
_cell_length_a 4.221
_cell_length_b 4.383
_cell_length_c 4.504
_cell_angle_alpha 90.00
_cell_angle_beta 90.00
_cell_angle_gamma 90.00
loop_
_symmetry_equiv_pos_as_xyz
'x,y,z'
loop_
_atom_site_label
_atom_site_type_symbol
_atom_site_fract_x
_atom_site_fract_y
_atom_site_fract_z
Mg1 Mg 0.500 0.000 0.500
Tl1 Tl 0.000 0.500 0.500
Ga1 Ga 0.000 0.000 0.000
Sc1 Sc 0.500 0.500 0.000
```

Calculated values
D(E_F): 0.4757 states/eV/atom
symmetry: Pmmm
V: 20.8 Å³/atom
total moment: 0.0 μB/f.u.



## B
This record from Alexandria describes a geometry-optimized MgScTlGa structure. The functional is PBE.

The structure in CIF format:
```
data_MgScTlGa
_chemical_formula_sum 'Mg1 Sc1 Tl1 Ga1'
_symmetry_space_group_name_H-M 'P 1'
_symmetry_Int_Tables_number 1
_cell_length_a 4.951
_cell_length_b 4.951
_cell_length_c 4.951
_cell_angle_alpha 60.00
_cell_angle_beta 60.00
_cell_angle_gamma 60.00
loop_
_symmetry_equiv_pos_as_xyz
'x,y,z'
loop_
_atom_site_label
_atom_site_type_symbol
_atom_site_fract_x
_atom_site_fract_y
_atom_site_fract_z
Sc1 Sc 0.500 0.500 0.500
Ga1 Ga 0.250 0.250 0.250
Mg1 Mg 0.000 0.000 0.000
Tl1 Tl 0.750 0.750 0.750
```

Calculated values
D(E_F): 0.5974 states/eV/atom
symmetry: F-43m
V: 21.5 Å³/atom
total moment: 0.0 μB/f.u.



Stability verdict: A, ahead by 90 meV/atom



## A
This record from Alexandria describes a geometry-optimized MgGa2Se structure. The functional is PBE.

The structure in CIF format:
```
data_MgGa2Se
_chemical_formula_sum 'Mg2 Ga4 Se2'
_symmetry_space_group_name_H-M 'P 1'
_symmetry_Int_Tables_number 1
_cell_length_a 7.733
_cell_length_b 7.733
_cell_length_c 6.174
_cell_angle_alpha 51.23
_cell_angle_beta 51.23
_cell_angle_gamma 90.00
loop_
_symmetry_equiv_pos_as_xyz
'x,y,z'
loop_
_atom_site_label
_atom_site_type_symbol
_atom_site_fract_x
_atom_site_fract_y
_atom_site_fract_z
Se1 Se 0.000 0.000 0.000
Se2 Se 0.750 0.250 0.500
Mg1 Mg 0.500 0.500 0.000
Mg2 Mg 0.250 0.750 0.500
Ga1 Ga 0.375 0.361 0.750
Ga2 Ga 0.875 0.889 0.750
Ga3 Ga 0.111 0.625 0.250
Ga4 Ga 0.639 0.125 0.250
```

Calculated values
D(E_F): 0.4554 states/eV/atom
symmetry: I-42d
V: 21.4 Å³/atom
total moment: 0.0 μB/f.u.



## B
This record from Alexandria describes a geometry-optimized MgGa2Se structure. The functional is PBE.

The structure in CIF format:
```
data_MgGa2Se
_chemical_formula_sum 'Mg1 Ga2 Se1'
_symmetry_space_group_name_H-M 'P 1'
_symmetry_Int_Tables_number 1
_cell_length_a 4.979
_cell_length_b 4.979
_cell_length_c 4.979
_cell_angle_alpha 60.00
_cell_angle_beta 60.00
_cell_angle_gamma 60.00
loop_
_symmetry_equiv_pos_as_xyz
'x,y,z'
loop_
_atom_site_label
_atom_site_type_symbol
_atom_site_fract_x
_atom_site_fract_y
_atom_site_fract_z
Ga1 Ga 0.250 0.250 0.250
Ga2 Ga 0.750 0.750 0.750
Mg1 Mg 0.000 0.000 0.000
Se1 Se 0.500 0.500 0.500
```

Calculated values
D(E_F): 0.5739 states/eV/atom
symmetry: Fm-3m
V: 21.8 Å³/atom
total moment: 0.0 μB/f.u.



Stability verdict: A, ahead by 246 meV/atom



## A
This record from Alexandria describes a geometry-optimized Mg2GaSe structure. The functional is PBE.

The structure in CIF format:
```
data_Mg2GaSe
_chemical_formula_sum 'Mg4 Ga2 Se2'
_symmetry_space_group_name_H-M 'P 1'
_symmetry_Int_Tables_number 1
_cell_length_a 7.483
_cell_length_b 7.483
_cell_length_c 6.186
_cell_angle_alpha 52.78
_cell_angle_beta 52.78
_cell_angle_gamma 90.00
loop_
_symmetry_equiv_pos_as_xyz
'x,y,z'
loop_
_atom_site_label
_atom_site_type_symbol
_atom_site_fract_x
_atom_site_fract_y
_atom_site_fract_z
Mg1 Mg 0.101 0.625 0.250
Mg2 Mg 0.375 0.351 0.750
Mg3 Mg 0.649 0.125 0.250
Mg4 Mg 0.875 0.899 0.750
Se1 Se 0.000 0.000 0.000
Se2 Se 0.750 0.250 0.500
Ga1 Ga 0.250 0.750 0.500
Ga2 Ga 0.500 0.500 0.000
```

Calculated values
D(E_F): 0.3368 states/eV/atom
symmetry: I-42d
V: 22.4 Å³/atom
total moment: 0.0 μB/f.u.



## B
This record from Alexandria describes a geometry-optimized Mg2GaSe structure. The functional is PBE.

The structure in CIF format:
```
data_Mg2GaSe
_chemical_formula_sum 'Mg2 Ga1 Se1'
_symmetry_space_group_name_H-M 'P 1'
_symmetry_Int_Tables_number 1
_cell_length_a 4.895
_cell_length_b 4.895
_cell_length_c 4.895
_cell_angle_alpha 60.00
_cell_angle_beta 60.00
_cell_angle_gamma 60.00
loop_
_symmetry_equiv_pos_as_xyz
'x,y,z'
loop_
_atom_site_label
_atom_site_type_symbol
_atom_site_fract_x
_atom_site_fract_y
_atom_site_fract_z
Mg1 Mg 0.250 0.250 0.250
Mg2 Mg 0.750 0.750 0.750
Ga1 Ga 0.000 0.000 0.000
Se1 Se 0.500 0.500 0.500
```

Calculated values
D(E_F): 0.8503 states/eV/atom
symmetry: Fm-3m
V: 20.7 Å³/atom
total moment: 0.0 μB/f.u.



Stability verdict: A, ahead by 196 meV/atom



## A
This record from Alexandria describes a geometry-optimized Mg14GaSi structure. The functional is PBE.

The structure in CIF format:
```
data_Mg14GaSi
_chemical_formula_sum 'Mg14 Ga1 Si1'
_symmetry_space_group_name_H-M 'P 1'
_symmetry_Int_Tables_number 1
_cell_length_a 6.305
_cell_length_b 6.305
_cell_length_c 9.995
_cell_angle_alpha 90.00
_cell_angle_beta 90.00
_cell_angle_gamma 120.00
loop_
_symmetry_equiv_pos_as_xyz
'x,y,z'
loop_
_atom_site_label
_atom_site_type_symbol
_atom_site_fract_x
_atom_site_fract_y
_atom_site_fract_z
Mg1 Mg 0.001 0.500 0.500
Mg2 Mg 0.998 0.499 0.000
Mg3 Mg 0.501 0.499 0.000
Mg4 Mg 0.672 0.836 0.245
Mg5 Mg 0.500 0.500 0.500
Mg6 Mg 0.164 0.328 0.245
Mg7 Mg 0.500 0.999 0.500
Mg8 Mg 0.667 0.333 0.751
Mg9 Mg 0.164 0.836 0.755
Mg10 Mg 0.667 0.333 0.249
Mg11 Mg 0.164 0.328 0.755
Mg12 Mg 0.672 0.836 0.755
Mg13 Mg 0.164 0.836 0.245
Mg14 Mg 0.501 0.002 0.000
Ga1 Ga 0.000 0.000 0.500
Si1 Si 0.000 0.000 0.000
```

Calculated values
D(E_F): 0.4165 states/eV/atom
symmetry: P-6m2
V: 21.5 Å³/atom
total moment: 0.0 μB/f.u.



## B
This record from Alexandria describes a geometry-optimized Mg14GaSi structure. The functional is PBE.

The structure in CIF format:
```
data_Mg14GaSi
_chemical_formula_sum 'Mg14 Ga1 Si1'
_symmetry_space_group_name_H-M 'P 1'
_symmetry_Int_Tables_number 1
_cell_length_a 6.294
_cell_length_b 6.294
_cell_length_c 10.019
_cell_angle_alpha 90.00
_cell_angle_beta 90.00
_cell_angle_gamma 119.08
loop_
_symmetry_equiv_pos_as_xyz
'x,y,z'
loop_
_atom_site_label
_atom_site_type_symbol
_atom_site_fract_x
_atom_site_fract_y
_atom_site_fract_z
Mg1 Mg 0.341 0.157 0.500
Mg2 Mg 0.335 0.665 0.000
Mg3 Mg 0.831 0.667 0.000
Mg4 Mg 0.667 0.333 0.255
Mg5 Mg 0.665 0.839 0.267
Mg6 Mg 0.667 0.333 0.745
Mg7 Mg 0.835 0.165 0.000
Mg8 Mg 0.167 0.833 0.748
Mg9 Mg 0.665 0.839 0.733
Mg10 Mg 0.167 0.833 0.252
Mg11 Mg 0.843 0.659 0.500
Mg12 Mg 0.161 0.335 0.733
Mg13 Mg 0.161 0.335 0.267
Mg14 Mg 0.333 0.169 0.000
Si1 Si 0.829 0.171 0.500
Ga1 Ga 0.332 0.668 0.500
```

Calculated values
D(E_F): 0.4114 states/eV/atom
symmetry: Amm2
V: 21.7 Å³/atom
total moment: 0.0 μB/f.u.



Stability verdict: B, ahead by 6 meV/atom



## A
This record from Alexandria describes a geometry-optimized SmMgGa4 structure. The functional is PBE.

The structure in CIF format:
```
data_SmMgGa4
_chemical_formula_sum 'Sm1 Mg1 Ga4'
_symmetry_space_group_name_H-M 'P 1'
_symmetry_Int_Tables_number 1
_cell_length_a 4.352
_cell_length_b 5.731
_cell_length_c 5.731
_cell_angle_alpha 90.49
_cell_angle_beta 67.68
_cell_angle_gamma 67.68
loop_
_symmetry_equiv_pos_as_xyz
'x,y,z'
loop_
_atom_site_label
_atom_site_type_symbol
_atom_site_fract_x
_atom_site_fract_y
_atom_site_fract_z
Sm1 Sm 0.000 0.000 0.000
Mg1 Mg 0.500 0.500 0.500
Ga1 Ga 0.791 0.873 0.546
Ga2 Ga 0.209 0.454 0.127
Ga3 Ga 0.209 0.127 0.454
Ga4 Ga 0.791 0.546 0.873
```

Calculated values
D(E_F): 0.3538 states/eV/atom
symmetry: Immm
V: 20.1 Å³/atom
total moment: 0.0 μB/f.u.



## B
This record from Alexandria describes a geometry-optimized SmMgGa4 structure. The functional is PBE.

The structure in CIF format:
```
data_SmMgGa4
_chemical_formula_sum 'Sm1 Mg1 Ga4'
_symmetry_space_group_name_H-M 'P 1'
_symmetry_Int_Tables_number 1
_cell_length_a 5.542
_cell_length_b 5.542
_cell_length_c 5.542
_cell_angle_alpha 60.00
_cell_angle_beta 60.00
_cell_angle_gamma 60.00
loop_
_symmetry_equiv_pos_as_xyz
'x,y,z'
loop_
_atom_site_label
_atom_site_type_symbol
_atom_site_fract_x
_atom_site_fract_y
_atom_site_fract_z
Ga1 Ga 0.625 0.625 0.124
Ga2 Ga 0.625 0.124 0.625
Ga3 Ga 0.625 0.625 0.625
Ga4 Ga 0.124 0.625 0.625
Sm1 Sm 0.000 0.000 0.000
Mg1 Mg 0.250 0.250 0.250
```

Calculated values
D(E_F): 0.6283 states/eV/atom
symmetry: F-43m
V: 20.1 Å³/atom
total moment: 0.0 μB/f.u.



Stability verdict: A, ahead by 111 meV/atom